(1)
K2PaSnTe4 | PBE-GGA | optimized geometry

Summary:
* crystal system: monoclinic
* energy: -4.382 eV per atom
* D(E_F): 6.04 states/eV per cell

Lattice parameters (Å, degrees): 8.096 4.581 8.505 90.00 107.48 90.00
Space group P2/m (No. 10)
One atom of each set of equivalent atoms:
1 K 0.000 0.000 0.000 x1
2 K 0.500 0.500 0.000 x1
3 Pa 0.000 0.500 0.500 x1
4 Sn 0.500 0.000 0.500 x1
5 Te 0.228 0.000 0.707 x2
6 Te 0.250 0.500 0.292 x2

(2)
K2PaSnTe5 | PBE-GGA | optimized geometry

Summary:
* crystal system: orthorhombic
* energy: -4.220 eV per atom
* D(E_F): 16.00 states/eV per cell

Lattice parameters (Å, degrees): 4.638 19.706 15.090 90.00 90.00 90.00
Space group Cmc2_1 (No. 36)
One atom of each set of equivalent atoms:
1 K 0.000 0.110 0.000 x4
2 K 0.000 0.135 0.636 x4
3 Pa 0.000 0.211 0.343 x4
4 Sn 0.000 0.466 0.756 x4
5 Te 0.000 0.057 0.382 x4
6 Te 0.000 0.289 0.971 x4
7 Te 0.000 0.314 0.711 x4
8 Te 0.000 0.356 0.319 x4
9 Te 0.000 0.491 0.077 x4

(3)
K3Tb2PaTe6 | PBE-GGA | optimized geometry

Summary:
* crystal system: monoclinic
* energy: -4.631 eV per atom
* D(E_F): 20.33 states/eV per cell

Lattice parameters (Å, degrees): 7.769 13.456 8.703 90.00 107.31 90.00
Space group C2/m (No. 12)
One atom of each set of equivalent atoms:
1 K 0.000 0.000 0.000 x2
2 K 0.000 0.333 0.000 x4
3 Tb 0.000 0.167 0.500 x4
4 Pa 0.000 0.500 0.500 x2
5 Te 0.237 0.000 0.712 x4
6 Te 0.237 0.333 0.712 x8

(4)
K3Tb3PaTe8 | PBE-GGA | optimized geometry

Summary:
* crystal system: trigonal
* energy: -4.737 eV per atom
* D(E_F): 9.95 states/eV per cell

Lattice parameters (Å, degrees): 8.9478 8.9478 25.1262 90.00 90.00 120.00
Space group R-3m (No. 166, hexagonal axes)
One atom of each set of equivalent atoms:
1 K 0.0000 0.5000 0.0000 x9
2 Tb 0.0000 0.5000 0.5000 x9
3 Pa 0.0000 0.0000 0.5000 x3
4 Te 0.0000 0.0000 0.2362 x6
5 Te 0.9995 0.4998 0.2357 x18

(5)
K2Tb2PaTe6 | PBE-GGA | optimized geometry

Summary:
* crystal system: monoclinic
* energy: -4.862 eV per atom
* D(E_F): 5.12 states/eV per cell

Lattice parameters (Å, degrees): 7.711 13.332 8.837 90.00 107.09 90.00
Space group C2/m (No. 12)
One atom of each set of equivalent atoms:
1 K 0.000 0.167 0.000 x4
2 Tb 0.000 0.333 0.500 x4
3 Pa 0.000 0.000 0.500 x2
4 Te 0.236 0.165 0.708 x8
5 Te 0.237 0.500 0.707 x4

(6)
K4Tb3PaTe8 | PBE-GGA | optimized geometry

Summary:
* crystal system: trigonal
* energy: -4.575 eV per atom
* D(E_F): 31.57 states/eV per cell

Lattice parameters (Å, degrees): 8.9856 8.9856 24.8689 90.00 90.00 120.00
Space group R-3m (No. 166, hexagonal axes)
One atom of each set of equivalent atoms:
1 K 0.0000 0.0000 0.0000 x3
2 K 0.0000 0.5000 0.0000 x9
3 Tb 0.0000 0.5000 0.5000 x9
4 Pa 0.0000 0.0000 0.5000 x3
5 Te 0.0000 0.0000 0.2366 x6
6 Te 0.0007 0.5004 0.7627 x18

(7)
K3TbPa3Te8 | PBE-GGA | optimized geometry

Summary:
* crystal system: trigonal
* energy: -5.133 eV per atom
* D(E_F): 60.82 states/eV per cell

Lattice parameters (Å, degrees): 8.7858 8.7858 25.6343 90.00 90.00 120.00
Space group R-3m (No. 166, hexagonal axes)
One atom of each set of equivalent atoms:
1 K 0.0000 0.5000 0.0000 x9
2 Tb 0.0000 0.0000 0.5000 x3
3 Pa 0.0000 0.5000 0.5000 x9
4 Te 0.0000 0.0000 0.2384 x6
5 Te 0.0019 0.5010 0.7630 x18

(8)
KPa6Te8 | PBE-GGA | optimized geometry

Summary:
* crystal system: trigonal
* energy: -6.152 eV per atom
* D(E_F): 37.12 states/eV per cell

Lattice parameters (Å, degrees): 11.6684 11.6684 13.8270 90.00 90.00 120.00
Space group R-3 (No. 148, hexagonal axes)
One atom of each set of equivalent atoms:
1 K 0.0000 0.0000 0.0000 x3
2 Pa 0.0319 0.1893 0.4320 x18
3 Te 0.0000 0.0000 0.2664 x6
4 Te 0.0049 0.6386 0.7190 x18

Record-wise magnetic moment values, in μB per formula unit: 1.00, 0.00, 1.88, 1.03, 1.05, 1.87, 5.04, 3.07
Record-wise V values, in Å³/f.u.: 301, 345, 434, 581, 434, 580, 571, 543